The following is a DFT calculation (GGA-PBE) of a relaxed structure of CeTcAg.

Lattice parameters (Å, degrees): 3.819 3.819 10.218 100.77 100.77 90.00
Fractional coordinates of all 6 atoms:
Ce  0.847  0.847  0.693
Ce  0.153  0.153  0.307
Tc  0.730  0.730  0.459
Tc  0.270  0.270  0.541
Ag  0.432  0.432  0.864
Ag  0.568  0.568  0.136

## Properties
density	8.0	g cm⁻³
energy relative to the elements	3.8	kcal/mol of atoms
SG	No. 139
crystal system	tetragonal
total magnetic moment	0.00	μB/f.u.


The following is a DFT calculation (GGA-PBE) of a relaxed structure of Mg5Sn3Pb.

Lattice parameters (Å, degrees): 6.503 8.864 8.855 120.03 90.00 90.00
Fractional coordinates of all 18 atoms:
Sn  0.250  0.000  0.356
Sn  0.250  0.356  0.000
Sn  0.750  0.000  0.644
Sn  0.250  0.645  0.644
Sn  0.750  0.355  0.356
Sn  0.750  0.644  0.000
Mg  0.000  0.333  0.667
Mg  0.000  0.667  0.333
Mg  0.750  0.000  0.320
Mg  0.750  0.320  0.000
Mg  0.500  0.333  0.667
Mg  0.250  0.000  0.680
Mg  0.750  0.680  0.680
Mg  0.250  0.680  0.000
Mg  0.250  0.320  0.320
Mg  0.500  0.667  0.333
Pb  0.500  0.000  0.000
Pb  0.000  0.000  0.000

## Properties
density	5.1	g cm⁻³
energy relative to the elements	-1.7	kcal/mol of atoms
SG	No. 63
crystal system	orthorhombic
total magnetic moment	0.00	μB/f.u.


The following is a DFT calculation (GGA-PBE) of a relaxed structure of BaCoIr3.

Lattice parameters (Å, degrees): 5.080 5.080 5.080 90.00 90.00 90.00
Last column: magnetic moment on the atom in μB.
Fractional coordinates of all 5 atoms:
Ir  0.000  0.000  0.500  -0.34
Ir  0.500  0.000  0.000  -0.61
Ir  0.000  0.500  0.000  -0.54
Co  0.500  0.500  0.500  -2.26
Ba  0.000  0.000  0.000  0.03

## Properties
density	9.8	g cm⁻³
energy relative to the elements	72.5	kcal/mol of atoms
SG	No. 221
energy relative to the lowest polymorph listed for this composition	2.235	eV/atom
crystal system	cubic
total magnetic moment	3.70	μB/f.u.


Question: Number 2 is which compound?
Answer: Mg5Sn3Pb


Please write out number 3 again, unchanged.
The following is a DFT calculation (GGA-PBE) of a relaxed structure of BaCoIr3.

Lattice parameters (Å, degrees): 5.080 5.080 5.080 90.00 90.00 90.00
Last column: magnetic moment on the atom in μB.
Fractional coordinates of all 5 atoms:
Ir  0.000  0.000  0.500  -0.34
Ir  0.500  0.000  0.000  -0.61
Ir  0.000  0.500  0.000  -0.54
Co  0.500  0.500  0.500  -2.26
Ba  0.000  0.000  0.000  0.03

## Properties
density	9.8	g cm⁻³
energy relative to the elements	72.5	kcal/mol of atoms
SG	No. 221
energy relative to the lowest polymorph listed for this composition	2.235	eV/atom
crystal system	cubic
total magnetic moment	3.70	μB/f.u.


Please write out number 2 again, unchanged.
The following is a DFT calculation (GGA-PBE) of a relaxed structure of Mg5Sn3Pb.

Lattice parameters (Å, degrees): 6.503 8.864 8.855 120.03 90.00 90.00
Fractional coordinates of all 18 atoms:
Sn  0.250  0.000  0.356
Sn  0.250  0.356  0.000
Sn  0.750  0.000  0.644
Sn  0.250  0.645  0.644
Sn  0.750  0.355  0.356
Sn  0.750  0.644  0.000
Mg  0.000  0.333  0.667
Mg  0.000  0.667  0.333
Mg  0.750  0.000  0.320
Mg  0.750  0.320  0.000
Mg  0.500  0.333  0.667
Mg  0.250  0.000  0.680
Mg  0.750  0.680  0.680
Mg  0.250  0.680  0.000
Mg  0.250  0.320  0.320
Mg  0.500  0.667  0.333
Pb  0.500  0.000  0.000
Pb  0.000  0.000  0.000

## Properties
density	5.1	g cm⁻³
energy relative to the elements	-1.7	kcal/mol of atoms
SG	No. 63
crystal system	orthorhombic
total magnetic moment	0.00	μB/f.u.


Question: energy relative to the elements of number 3 (BaCoIr3)?
Answer: 72.5 kcal/mol of atoms